First-principles (GGA-PBE) data for a geometry-optimized B2RuPt2 structure, as listed in the Alexandria database.

magnetic moment: 0.00 μB per formula unit
raw total energy: -6.768 eV per atom
volume: 11.581 Å³ per atom

Cell lengths 6.2880, 6.2880, 2.9291 Å; angles 90.00, 90.00, 90.00 degrees
Closest atoms and distances in Å follow each position.
Space group P4/mbm (No. 127)
Unique sites:
1 B 0.1574 0.3426 0.0000 x4  6 Pt 2.22-2.45, 2 Ru 2.37
2 Ru 0.0000 0.0000 0.0000 x2  4 B 2.37
3 Pt 0.1557 0.6557 0.5000 x4  6 B 2.22-2.45



First-principles (GGA-PBE) data for a geometry-optimized B2RuPt2 structure, as listed in the Alexandria database.

magnetic moment: 1.98 μB per formula unit
raw total energy: -6.756 eV per atom
volume: 12.200 Å³ per atom

Cell lengths 3.7488, 3.7488, 8.6807 Å; angles 90.00, 90.00, 90.00 degrees
Closest atoms and distances in Å follow each position.
Space group I4/mmm (No. 139)
Unique sites:
1 B 0.0000 0.0000 0.1005 x4  1 B 1.75
2 Ru 0.0000 0.0000 0.5000 x2  8 B 2.79, 8 Pt 2.87
3 Pt 0.0000 0.5000 0.2500 x4  4 B 2.28



Energy above the lowest structure with this stoichiometry list, top to bottom, in eV/f.u.: 0.00, 0.06